1.
First-principles (PBE) data for crystalline CdIrN2O at its relaxed geometry, as listed in Alexandria via LeMat-Bulk.

```
5
Lattice="-0.196 2.994 2.863 -1.529 -2.715 2.735 3.714 -0.894 1.189" Properties=species:S:1:pos:R:3 pbc="T T T"
N -0.765 -1.358 1.368
N -0.098 1.497 1.431
Ir 0.994 -0.308 3.393
O 1.857 -0.447 0.594
Cd 0.000 0.000 0.000
```

ΔE_f (raw) ... 12.09 eV/f.u.
Theoretical density ... 8.42 g cm⁻³
Calculated volume ... 13.8 Å³ per atom
SG ... P4/mmm


2.
First-principles (PBE) data for crystalline CdIrS2N at its relaxed geometry, as listed in Alexandria via LeMat-Bulk.

```
5
Lattice="4.954 0.000 0.000 0.000 4.954 0.000 0.000 0.000 3.982" Properties=species:S:1:pos:R:3 pbc="T T T"
N 0.000 0.000 1.991
S 0.000 2.477 0.000
S 2.477 0.000 0.000
Ir 2.477 2.477 1.991
Cd 0.000 0.000 0.000
```

ΔE_f (raw) ... 9.68 eV/f.u.
Theoretical density ... 6.50 g cm⁻³
Calculated volume ... 19.5 Å³ per atom
SG ... P4/mmm


3.
First-principles (PBE) data for crystalline CdIrSN2 at its relaxed geometry, as listed in Alexandria via LeMat-Bulk.

```
5
Lattice="3.789 0.000 0.000 0.000 3.789 0.000 0.000 0.000 5.535" Properties=species:S:1:pos:R:3 pbc="T T T"
N 0.000 1.894 0.000
N 1.894 0.000 0.000
S 0.000 0.000 2.767
Ir 0.000 0.000 0.000
Cd 1.894 1.894 2.767
```

ΔE_f (raw) ... 3.18 eV/f.u.
Theoretical density ... 7.62 g cm⁻³
Calculated volume ... 15.9 Å³ per atom
SG ... P4/mmm


4.
First-principles (PBE) data for crystalline CdIrSN2 at its relaxed geometry, as listed in Alexandria via LeMat-Bulk.

```
5
Lattice="-3.887 0.661 -0.612 -0.715 -3.913 0.315 -0.781 0.593 5.598" Properties=species:S:1:pos:R:3 pbc="T T T"
N -0.358 -1.957 0.157
N -1.944 0.331 -0.306
S -0.390 0.297 2.799
Ir -2.692 -1.329 2.651
Cd 0.000 0.000 0.000
```

ΔE_f (raw) ... 12.17 eV/f.u.
Theoretical density ... 6.69 g cm⁻³
Calculated volume ... 18.1 Å³ per atom
SG ... P4/mmm


5.
First-principles (PBE) data for crystalline CdIrS2N at its relaxed geometry, as listed in Alexandria via LeMat-Bulk.

```
5
Lattice="4.957 0.000 0.000 0.000 4.957 0.000 0.000 0.000 3.660" Properties=species:S:1:pos:R:3 pbc="T T T"
N 0.000 0.000 1.830
S 0.000 2.479 0.000
S 2.479 0.000 0.000
Ir 0.000 0.000 0.000
Cd 2.479 2.479 1.830
```

ΔE_f (raw) ... 1.56 eV/f.u.
Theoretical density ... 7.07 g cm⁻³
Calculated volume ... 18.0 Å³ per atom
SG ... P4/mmm


6.
First-principles (PBE) data for crystalline CdIrSeN2 at its relaxed geometry, as listed in Alexandria via LeMat-Bulk.

```
5
Lattice="-2.135 3.026 -1.478 -2.016 -3.019 -3.270 -2.939 -0.819 2.568" Properties=species:S:1:pos:R:3 pbc="T T T"
N -1.469 -0.409 1.284
N -1.068 1.513 -0.739
Ir -1.008 -1.510 -1.635
Se 0.000 0.000 0.000
Cd -3.545 -0.406 -1.090
```

ΔE_f (raw) ... 8.56 eV/f.u.
Theoretical density ... 8.80 g cm⁻³
Calculated volume ... 15.5 Å³ per atom
SG ... P4/mmm


7.
First-principles (PBE) data for crystalline CdIrSeN2 at its relaxed geometry, as listed in Alexandria via LeMat-Bulk.

```
5
Lattice="-3.108 0.773 -2.106 1.399 -2.146 -2.852 -2.587 -4.543 2.150" Properties=species:S:1:pos:R:3 pbc="T T T"
N 0.700 -1.073 -1.426
N -1.554 0.387 -1.053
Ir 0.000 0.000 0.000
Se -1.293 -2.272 1.075
Cd -2.148 -2.958 -1.405
```

ΔE_f (raw) ... 3.21 eV/f.u.
Theoretical density ... 8.23 g cm⁻³
Calculated volume ... 16.6 Å³ per atom
SG ... P4/mmm


8.
First-principles (PBE) data for crystalline CdIrSe2N at its relaxed geometry, as listed in Alexandria via LeMat-Bulk.

```
5
Lattice="-4.888 -1.763 0.632 -0.495 -0.489 -5.189 1.263 -3.428 0.203" Properties=species:S:1:pos:R:3 pbc="T T T"
N 0.631 -1.714 0.101
Ir 0.000 0.000 0.000
Se -0.247 -0.244 -2.594
Se -2.444 -0.882 0.316
Cd -2.060 -2.840 -2.177
```

ΔE_f (raw) ... 1.23 eV/f.u.
Theoretical density ... 7.89 g cm⁻³
Calculated volume ... 20.1 Å³ per atom
SG ... P4/mmm


9.
First-principles (PBE) data for crystalline CdIrSe2N at its relaxed geometry, as listed in Alexandria via LeMat-Bulk.

```
5
Lattice="-4.931 0.209 -1.593 -0.628 -4.984 1.290 -1.130 1.085 3.641" Properties=species:S:1:pos:R:3 pbc="T T T"
N -0.565 0.542 1.820
Ir -3.345 -1.845 1.669
Se -0.314 -2.492 0.645
Se -2.465 0.105 -0.796
Cd 0.000 0.000 0.000
```

ΔE_f (raw) ... 8.88 eV/f.u.
Theoretical density ... 7.42 g cm⁻³
Calculated volume ... 21.3 Å³ per atom
SG ... P4/mmm


10.
First-principles (PBE) data for crystalline CdIrSeN2 at its relaxed geometry, as listed in Alexandria via LeMat-Bulk.

```
5
Lattice="4.028 0.000 0.000 0.000 4.028 0.000 0.000 0.000 6.035" Properties=species:S:1:pos:R:3 pbc="T T T"
N 0.000 2.014 0.000
N 2.014 0.000 0.000
Ir 2.014 2.014 3.018
Se 0.000 0.000 3.018
Cd 0.000 0.000 0.000
```

ΔE_f (raw) ... 11.54 eV/f.u.
Theoretical density ... 6.98 g cm⁻³
Calculated volume ... 19.6 Å³ per atom
SG ... P4/mmm


11.
First-principles (PBE) data for crystalline Sr2CdIrN at its relaxed geometry, as listed in Alexandria via LeMat-Bulk.

```
5
Lattice="5.544 0.000 0.000 0.000 5.544 0.000 0.000 0.000 3.821" Properties=species:S:1:pos:R:3 pbc="T T T"
Sr 0.000 2.772 0.000
Sr 2.772 0.000 0.000
N 0.000 0.000 0.000
Ir 0.000 0.000 1.910
Cd 2.772 2.772 1.910
```

ΔE_f (raw) ... -2.47 eV/f.u.
Theoretical density ... 6.98 g cm⁻³
Calculated volume ... 23.5 Å³ per atom
SG ... P4/mmm


12.
First-principles (PBE) data for crystalline Ta2CdIrN at its relaxed geometry, as listed in Alexandria via LeMat-Bulk.

```
5
Lattice="4.163 0.000 0.000 0.000 4.504 0.000 0.000 0.000 4.163" Properties=species:S:1:pos:R:3 pbc="T T T"
Cd 0.000 2.252 0.000
N 0.000 0.000 0.000
Ir 2.081 2.252 2.081
Ta 0.000 0.000 2.081
Ta 2.081 0.000 0.000
```

ΔE_f (raw) ... -0.52 eV/f.u.
Theoretical density ... 14.48 g cm⁻³
Calculated volume ... 15.6 Å³ per atom
SG ... P4/mmm


13.
First-principles (PBE) data for crystalline Ta2CdIrN at its relaxed geometry, as listed in Alexandria via LeMat-Bulk.

```
5
Lattice="4.210 0.000 0.000 0.000 4.326 0.000 0.000 0.000 4.210" Properties=species:S:1:pos:R:3 pbc="T T T"
Cd 2.105 2.163 2.105
N 0.000 0.000 0.000
Ir 0.000 2.163 0.000
Ta 0.000 0.000 2.105
Ta 2.105 0.000 0.000
```

ΔE_f (raw) ... -0.54 eV/f.u.
Theoretical density ... 14.74 g cm⁻³
Calculated volume ... 15.3 Å³ per atom
SG ... P4/mmm


14.
First-principles (PBE) data for crystalline CdTeIrN2 at its relaxed geometry, as listed in Alexandria via LeMat-Bulk.

```
5
Lattice="3.912 0.000 0.000 0.000 3.912 0.000 0.000 0.000 5.877" Properties=species:S:1:pos:R:3 pbc="T T T"
N 0.000 1.956 0.000
N 1.956 0.000 0.000
Ir 0.000 0.000 0.000
Te 0.000 0.000 2.939
Cd 1.956 1.956 2.939
```

ΔE_f (raw) ... 3.96 eV/f.u.
Theoretical density ... 8.50 g cm⁻³
Calculated volume ... 18.0 Å³ per atom
SG ... P4/mmm